# 1
Below is Tb3Pm2Dy5 after structural relaxation, with properties calculated at the PBE-GGA level.

The calculated volume comes out at 660 Å³/cell. The density comes out at 7.947 g cm⁻³. The value obtained for the raw total energy is -0.1634 hartree per atom. For the energy above the lowest structure with this stoichiometry, the calculation gives 1.37 eV/f.u. The formation enthalpy at 0 K is 0.195 eV per atom.

```
20
Lattice="8.382 1.625 -3.928 0.315 8.528 -4.015 -1.736 -1.937 10.845" Properties=species:S:1:pos:R:3 pbc="T T T"
Tb 0.566 6.866 5.563
Tb 6.395 1.349 -2.661
Tb 5.855 4.675 -2.092
Tb 1.106 3.541 4.994
Tb -0.074 6.197 -0.533
Tb 7.035 2.018 3.435
Pm 5.235 -0.070 4.962
Pm 1.727 8.286 -2.060
Pm 2.844 5.555 3.302
Pm 4.117 2.661 -0.400
Dy 2.396 4.842 -2.612
Dy 4.565 3.373 5.514
Dy -0.530 5.549 2.679
Dy 3.535 2.135 2.804
Dy 7.491 2.666 0.223
Dy 3.427 6.080 0.098
Dy 6.113 5.128 2.361
Dy 0.848 3.088 0.541
Dy 2.026 0.428 6.061
Dy 4.935 7.787 -3.159
```

---

# 2
Below is TbPmDy2 after structural relaxation, with properties calculated at the PBE-GGA level.

The calculated volume comes out at 129 Å³/cell. The density comes out at 8.075 g cm⁻³. The value obtained for the raw total energy is -0.1702 hartree per atom. For the energy above the lowest structure with this stoichiometry, the calculation gives 0.00 eV/f.u. The formation enthalpy at 0 K is 0.014 eV per atom.

```
4
Lattice="3.592 0.000 0.000 1.796 3.111 0.000 1.796 1.037 11.575" Properties=species:S:1:pos:R:3 pbc="T T T"
Tb 3.592 2.074 0.005
Pm 3.592 2.074 5.774
Dy 1.796 1.037 8.720
Dy 1.796 1.037 2.863
```

---

# 3
Below is TbPm3Dy8 after structural relaxation, with properties calculated at the PBE-GGA level.

The calculated volume comes out at 417 Å³/cell. The density comes out at 7.534 g cm⁻³. The value obtained for the raw total energy is -0.1596 hartree per atom. The formation enthalpy at 0 K is 0.300 eV per atom.

```
12
Lattice="-4.239 7.446 1.286 1.171 -7.373 4.397 8.105 2.988 0.668" Properties=species:S:1:pos:R:3 pbc="T T T"
Tb -3.068 0.073 5.683
Pm 0.759 -1.048 4.094
Pm 4.278 4.108 2.257
Pm 0.399 5.253 3.818
Dy 0.180 2.589 1.912
Dy 4.856 0.471 4.439
Dy -1.343 2.625 4.734
Dy 6.380 0.435 1.617
Dy 2.966 0.662 1.594
Dy -2.574 4.594 2.221
Dy 7.612 -1.533 4.128
Dy 2.069 2.398 4.758
```

---

# 4
Below is Tb3PmDy4 after structural relaxation, with properties calculated at the PBE-GGA level.

The calculated volume comes out at 262 Å³/cell. The density comes out at 8.069 g cm⁻³. The value obtained for the raw total energy is -0.1639 hartree per atom. For the energy above the lowest structure with this stoichiometry, the calculation gives 1.26 eV/f.u. The formation enthalpy at 0 K is 0.171 eV per atom.

```
8
Lattice="-2.903 -0.742 -1.753 2.021 -6.367 -0.651 -4.708 0.941 10.836" Properties=species:S:1:pos:R:3 pbc="T T T"
Dy -3.921 -1.633 3.747
Dy -1.669 -4.536 4.684
Dy -0.800 -2.210 2.260
Dy -4.790 -3.958 6.171
Tb 1.011 -3.184 -0.326
Tb 0.232 -5.467 1.930
Tb -5.822 -0.701 6.502
Pm -1.451 -0.371 -0.877
```

---

# 5
Below is Tb8PmDy5 after structural relaxation, with properties calculated at the PBE-GGA level.

The calculated volume comes out at 462 Å³/cell. The density comes out at 8.016 g cm⁻³. The value obtained for the raw total energy is -0.1610 hartree per atom. The formation enthalpy at 0 K is 0.247 eV per atom.

```
14
Lattice="8.066 0.000 -2.497 -4.155 6.723 -2.971 0.245 0.000 8.440" Properties=species:S:1:pos:R:3 pbc="T T T"
Tb -1.710 4.964 -1.947
Tb 7.231 0.589 3.009
Tb 4.856 1.699 0.214
Tb 4.008 2.651 4.955
Tb 1.829 4.072 -0.780
Tb 1.030 6.134 2.898
Tb 1.760 1.759 1.983
Tb -2.383 5.024 1.555
Pm 0.122 3.361 4.220
Dy -0.991 2.153 0.098
Dy 3.267 6.067 -3.281
Dy 3.927 4.569 2.002
Dy 4.155 0.000 2.971
Dy 2.107 0.656 7.124
```

---

# 6
Below is Tb8Pm2Dy3 after structural relaxation, with properties calculated at the PBE-GGA level.

The calculated volume comes out at 855 Å³/cell. The density comes out at 7.955 g cm⁻³. The value obtained for the raw total energy is -0.1651 hartree per atom. The formation enthalpy at 0 K is 0.150 eV per atom.

```
26
Lattice="3.511 0.000 0.000 0.000 11.747 0.000 -0.001 0.000 20.741" Properties=species:S:1:pos:R:3 pbc="T T T"
Tb 0.000 8.322 19.627
Tb 3.510 3.425 1.114
Tb 3.510 2.449 11.484
Tb 0.000 9.298 9.257
Tb 0.004 0.616 3.285
Tb 3.506 11.131 17.456
Tb 3.506 6.490 7.086
Tb 0.003 5.257 13.655
Tb 1.756 10.252 5.909
Tb 1.754 1.495 14.833
Tb 1.755 4.379 4.462
Tb 1.755 7.368 16.279
Tb 1.756 6.410 1.482
Tb 1.754 5.338 19.259
Tb 1.755 0.536 8.888
Tb 1.755 11.211 11.853
Pm 1.757 9.634 2.052
Pm 1.753 2.113 18.689
Pm 1.753 3.760 8.319
Pm 1.757 7.987 12.422
Dy 0.000 0.000 0.000
Dy 0.000 5.874 10.371
Dy 0.001 7.574 4.176
Dy 3.508 4.173 16.565
Dy 3.509 1.700 6.194
Dy 0.001 10.047 14.547
```

---

Please write out number 1 again, unchanged.
Below is Tb3Pm2Dy5 after structural relaxation, with properties calculated at the PBE-GGA level.

The calculated volume comes out at 660 Å³/cell. The density comes out at 7.947 g cm⁻³. The value obtained for the raw total energy is -0.1634 hartree per atom. For the energy above the lowest structure with this stoichiometry, the calculation gives 1.37 eV/f.u. The formation enthalpy at 0 K is 0.195 eV per atom.

```
20
Lattice="8.382 1.625 -3.928 0.315 8.528 -4.015 -1.736 -1.937 10.845" Properties=species:S:1:pos:R:3 pbc="T T T"
Tb 0.566 6.866 5.563
Tb 6.395 1.349 -2.661
Tb 5.855 4.675 -2.092
Tb 1.106 3.541 4.994
Tb -0.074 6.197 -0.533
Tb 7.035 2.018 3.435
Pm 5.235 -0.070 4.962
Pm 1.727 8.286 -2.060
Pm 2.844 5.555 3.302
Pm 4.117 2.661 -0.400
Dy 2.396 4.842 -2.612
Dy 4.565 3.373 5.514
Dy -0.530 5.549 2.679
Dy 3.535 2.135 2.804
Dy 7.491 2.666 0.223
Dy 3.427 6.080 0.098
Dy 6.113 5.128 2.361
Dy 0.848 3.088 0.541
Dy 2.026 0.428 6.061
Dy 4.935 7.787 -3.159
```